# 1
An optimized crystal structure of TbBAsO. Source: OQMD, functional PBE-GGA.

Unit cell a=3.549 b=6.707 c=5.918 alpha=90.00 beta=90.00 gamma=90.00
Element x y z (fractional)
1 Tb 0.000 0.212 0.000
2 Tb 0.000 0.788 0.500
3 B 0.500 0.386 0.498
4 B 0.500 0.614 0.998
5 As 0.000 0.218 0.500
6 As 0.000 0.782 0.000
7 O 0.500 0.412 0.999
8 O 0.500 0.588 0.499

final energy = -51.82 eV per cell


# 2
An optimized crystal structure of TbBAsO. Source: OQMD, functional PBE-GGA.

Unit cell a=3.952 b=5.326 c=6.090 alpha=90.00 beta=90.00 gamma=90.00
Element x y z (fractional)
1 Tb 0.000 0.221 0.000
2 Tb 0.000 0.779 0.500
3 B 0.500 0.298 0.333
4 B 0.500 0.702 0.833
5 As 0.500 0.361 0.666
6 As 0.500 0.639 0.166
7 O 0.000 0.148 0.342
8 O 0.000 0.852 0.842

final energy = -48.50 eV per cell


# 3
An optimized crystal structure of TbBAsO. Source: OQMD, functional PBE-GGA.

Unit cell a=5.628 b=5.628 c=4.327 alpha=90.00 beta=90.00 gamma=90.00
Element x y z (fractional)
1 Tb 0.250 0.750 0.000
2 Tb 0.750 0.250 0.000
3 B 0.250 0.250 0.066
4 B 0.750 0.750 0.934
5 As 0.250 0.250 0.629
6 As 0.750 0.750 0.371
7 O 0.250 0.750 0.500
8 O 0.750 0.250 0.500

final energy = -46.63 eV per cell


# 4
An optimized crystal structure of TcBAsO. Source: OQMD, functional PBE-GGA.

Unit cell a=3.457 b=3.457 c=9.517 alpha=90.00 beta=90.00 gamma=90.00
Element x y z (fractional)
1 Tc 0.250 0.750 0.000
2 Tc 0.750 0.250 0.000
3 B 0.250 0.250 0.455
4 B 0.750 0.750 0.545
5 As 0.250 0.250 0.801
6 As 0.750 0.750 0.199
7 O 0.250 0.750 0.500
8 O 0.750 0.250 0.500

final energy = -50.75 eV per cell


# 5
An optimized crystal structure of TcBAsO. Source: OQMD, functional PBE-GGA.

Unit cell a=3.159 b=3.159 c=9.521 alpha=90.00 beta=90.00 gamma=90.00
Element x y z (fractional)
1 Tc 0.250 0.250 0.139
2 Tc 0.750 0.750 0.861
3 B 0.250 0.750 0.500
4 B 0.750 0.250 0.500
5 As 0.250 0.250 0.691
6 As 0.750 0.750 0.309
7 O 0.250 0.750 0.000
8 O 0.750 0.250 0.000

final energy = -50.22 eV per cell


# 6
An optimized crystal structure of TcBAsO. Source: OQMD, functional PBE-GGA.

Unit cell a=2.744 b=6.327 c=5.442 alpha=90.00 beta=90.00 gamma=90.00
Element x y z (fractional)
1 Tc 0.000 0.058 0.000
2 Tc 0.000 0.942 0.500
3 B 0.500 0.354 0.419
4 B 0.500 0.646 0.919
5 As 0.500 0.328 0.797
6 As 0.500 0.672 0.297
7 O 0.000 0.254 0.331
8 O 0.000 0.746 0.831

final energy = -55.30 eV per cell


# 7
An optimized crystal structure of TcBAsO. Source: OQMD, functional PBE-GGA.

Unit cell a=2.923 b=8.458 c=4.423 alpha=90.00 beta=90.00 gamma=90.00
Element x y z (fractional)
1 Tc 0.000 0.059 0.000
2 Tc 0.000 0.941 0.500
3 B 0.500 0.422 0.589
4 B 0.500 0.578 0.089
5 As 0.000 0.238 0.456
6 As 0.000 0.762 0.956
7 O 0.500 0.449 0.897
8 O 0.500 0.551 0.397

final energy = -57.11 eV per cell


# 8
An optimized crystal structure of TmBAsO. Source: OQMD, functional PBE-GGA.

Unit cell a=5.484 b=5.484 c=4.264 alpha=90.00 beta=90.00 gamma=90.00
Element x y z (fractional)
1 Tm 0.250 0.750 0.000
2 Tm 0.750 0.250 0.000
3 B 0.250 0.250 0.064
4 B 0.750 0.750 0.936
5 As 0.250 0.250 0.619
6 As 0.750 0.750 0.381
7 O 0.250 0.750 0.500
8 O 0.750 0.250 0.500

final energy = -46.65 eV per cell


# 9
An optimized crystal structure of TmBAsO. Source: OQMD, functional PBE-GGA.

Unit cell a=3.973 b=3.973 c=7.141 alpha=90.00 beta=90.00 gamma=90.00
Element x y z (fractional)
1 Tm 0.250 0.250 0.143
2 Tm 0.750 0.750 0.857
3 B 0.250 0.750 0.500
4 B 0.750 0.250 0.500
5 As 0.250 0.250 0.628
6 As 0.750 0.750 0.372
7 O 0.250 0.750 0.000
8 O 0.750 0.250 0.000

final energy = -51.99 eV per cell


# 10
An optimized crystal structure of TmBAsO. Source: OQMD, functional PBE-GGA.

Unit cell a=3.860 b=5.351 c=5.976 alpha=90.00 beta=90.00 gamma=90.00
Element x y z (fractional)
1 Tm 0.000 0.219 0.000
2 Tm 0.000 0.781 0.500
3 B 0.500 0.289 0.333
4 B 0.500 0.711 0.833
5 As 0.500 0.365 0.670
6 As 0.500 0.635 0.170
7 O 0.000 0.137 0.340
8 O 0.000 0.863 0.840

final energy = -48.33 eV per cell


# 11
An optimized crystal structure of TmBAsO. Source: OQMD, functional PBE-GGA.

Unit cell a=3.517 b=6.582 c=5.796 alpha=90.00 beta=90.00 gamma=90.00
Element x y z (fractional)
1 Tm 0.000 0.211 0.000
2 Tm 0.000 0.789 0.500
3 B 0.500 0.387 0.507
4 B 0.500 0.613 0.007
5 As 0.000 0.217 0.502
6 As 0.000 0.783 0.002
7 O 0.500 0.405 0.007
8 O 0.500 0.595 0.507

final energy = -51.50 eV per cell


# 12
An optimized crystal structure of ZrBAsO. Source: OQMD, functional PBE-GGA.

Unit cell a=3.737 b=3.737 c=7.893 alpha=90.00 beta=90.00 gamma=90.00
Element x y z (fractional)
1 Zr 0.250 0.250 0.143
2 Zr 0.750 0.750 0.857
3 B 0.250 0.750 0.500
4 B 0.750 0.250 0.500
5 As 0.250 0.250 0.648
6 As 0.750 0.750 0.352
7 O 0.250 0.750 0.000
8 O 0.750 0.250 0.000

final energy = -55.20 eV per cell


# 13
An optimized crystal structure of ZrBAsO. Source: OQMD, functional PBE-GGA.

Unit cell a=3.358 b=6.684 c=5.492 alpha=90.00 beta=90.00 gamma=90.00
Element x y z (fractional)
1 Zr 0.000 0.143 0.000
2 Zr 0.000 0.857 0.500
3 B 0.500 0.434 0.499
4 B 0.500 0.566 0.999
5 As 0.000 0.260 0.500
6 As 0.000 0.740 0.000
7 O 0.500 0.364 0.997
8 O 0.500 0.636 0.497

final energy = -57.61 eV per cell


# 14
An optimized crystal structure of ZrBAsO. Source: OQMD, functional PBE-GGA.

Unit cell a=5.087 b=5.087 c=4.282 alpha=90.00 beta=90.00 gamma=90.00
Element x y z (fractional)
1 Zr 0.250 0.750 0.000
2 Zr 0.750 0.250 0.000
3 B 0.250 0.250 0.018
4 B 0.750 0.750 0.982
5 As 0.250 0.250 0.530
6 As 0.750 0.750 0.470
7 O 0.250 0.750 0.500
8 O 0.750 0.250 0.500

final energy = -54.10 eV per cell


# 15
An optimized crystal structure of ZrBAsO. Source: OQMD, functional PBE-GGA.

Unit cell a=2.664 b=7.588 c=5.933 alpha=90.00 beta=90.00 gamma=90.00
Element x y z (fractional)
1 Zr 0.000 0.062 0.000
2 Zr 0.000 0.938 0.500
3 B 0.500 0.240 0.292
4 B 0.500 0.760 0.792
5 As 0.500 0.265 0.660
6 As 0.500 0.735 0.160
7 O 0.000 0.313 0.208
8 O 0.000 0.687 0.708

final energy = -56.58 eV per cell


# 16
An optimized crystal structure of ZrBAsO. Source: OQMD, functional PBE-GGA.

Unit cell a=3.649 b=3.649 c=9.138 alpha=90.00 beta=90.00 gamma=90.00
Element x y z (fractional)
1 Zr 0.250 0.750 0.000
2 Zr 0.750 0.250 0.000
3 B 0.250 0.250 0.443
4 B 0.750 0.750 0.557
5 As 0.250 0.250 0.222
6 As 0.750 0.750 0.778
7 O 0.250 0.750 0.500
8 O 0.750 0.250 0.500

final energy = -48.72 eV per cell


# 17
An optimized crystal structure of ZrBAsO. Source: OQMD, functional PBE-GGA.

Unit cell a=4.051 b=4.051 c=6.177 alpha=90.00 beta=90.00 gamma=90.00
Element x y z (fractional)
1 Zr 0.250 0.250 0.166
2 Zr 0.750 0.750 0.834
3 B 0.250 0.750 0.500
4 B 0.750 0.250 0.500
5 As 0.250 0.250 0.619
6 As 0.750 0.750 0.381
7 O 0.250 0.750 0.000
8 O 0.750 0.250 0.000

final energy = -56.54 eV per cell


# 18
An optimized crystal structure of BAsOs. Source: OQMD, functional PBE-GGA.

Unit cell a=3.819 b=3.819 c=3.819 alpha=60.00 beta=60.00 gamma=60.00
Element x y z (fractional)
1 B 0.000 0.000 0.000
2 As 0.750 0.750 0.750
3 Os 0.250 0.250 0.250

final energy = -19.88 eV per cell


# 19
An optimized crystal structure of PrB4As. Source: OQMD, functional PBE-GGA.

Unit cell a=5.417 b=5.417 c=5.417 alpha=145.53 beta=123.79 gamma=67.63
Element x y z (fractional)
1 Pr 0.000 0.000 0.000
2 B 0.052 0.735 0.317
3 B 0.418 0.735 0.683
4 B 0.582 0.265 0.317
5 B 0.948 0.265 0.683
6 As 0.500 0.500 0.000

final energy = -35.78 eV per cell


# 20
An optimized crystal structure of PrBAs. Source: OQMD, functional PBE-GGA.

Unit cell a=4.437 b=4.437 c=4.437 alpha=60.00 beta=60.00 gamma=60.00
Element x y z (fractional)
1 Pr 0.000 0.000 0.000
2 B 0.750 0.750 0.750
3 As 0.500 0.500 0.500

final energy = -15.73 eV per cell


# 21
An optimized crystal structure of PrB4As. Source: OQMD, functional PBE-GGA.

Unit cell a=3.195 b=3.195 c=7.987 alpha=90.00 beta=90.00 gamma=120.00
Element x y z (fractional)
1 Pr 0.000 0.000 0.000
2 B 0.333 0.667 0.270
3 B 0.333 0.667 0.730
4 B 0.667 0.333 0.270
5 B 0.667 0.333 0.730
6 As 0.000 0.000 0.500

final energy = -34.73 eV per cell


# 22
An optimized crystal structure of PrBAs. Source: OQMD, functional PBE-GGA.

Unit cell a=4.706 b=4.706 c=4.706 alpha=60.00 beta=60.00 gamma=60.00
Element x y z (fractional)
1 Pr 0.000 0.000 0.000
2 B 0.250 0.250 0.250
3 As 0.750 0.750 0.750

final energy = -14.44 eV per cell


# 23
An optimized crystal structure of B4AsPt. Source: OQMD, functional PBE-GGA.

Unit cell a=4.739 b=4.739 c=4.739 alpha=141.82 beta=110.98 gamma=81.71
Element x y z (fractional)
1 B 0.080 0.249 0.831
2 B 0.418 0.249 0.169
3 B 0.582 0.751 0.831
4 B 0.920 0.751 0.169
5 As 0.000 0.500 0.500
6 Pt 0.500 0.000 0.500

final energy = -33.69 eV per cell


# 24
An optimized crystal structure of B4AsPt. Source: OQMD, functional PBE-GGA.

Unit cell a=3.058 b=3.058 c=7.403 alpha=90.00 beta=90.00 gamma=120.00
Element x y z (fractional)
1 B 0.333 0.667 0.247
2 B 0.333 0.667 0.753
3 B 0.667 0.333 0.247
4 B 0.667 0.333 0.753
5 As 0.000 0.000 0.500
6 Pt 0.000 0.000 0.000

final energy = -33.68 eV per cell


# 25
An optimized crystal structure of Ta3B4As. Source: OQMD, functional PBE-GGA.

Unit cell a=3.108 b=3.250 c=8.828 alpha=90.00 beta=90.00 gamma=90.00
Element x y z (fractional)
1 Ta 0.000 0.000 0.000
2 Ta 0.500 0.000 0.310
3 Ta 0.500 0.000 0.690
4 B 0.000 0.500 0.203
5 B 0.000 0.500 0.797
6 B 0.500 0.500 0.107
7 B 0.500 0.500 0.893
8 As 0.000 0.500 0.500

final energy = -70.93 eV per cell


# 26
An optimized crystal structure of Ta2B2As. Source: OQMD, functional PBE-GGA.

Unit cell a=6.211 b=6.211 c=3.277 alpha=90.00 beta=90.00 gamma=150.78
Element x y z (fractional)
1 Ta 0.137 0.863 0.000
2 Ta 0.863 0.137 0.000
3 B 0.281 0.719 0.500
4 B 0.719 0.281 0.500
5 As 0.500 0.500 0.500

final energy = -43.50 eV per cell